No. 1
# PBE-GGA TmLuAlRh, optimized geometry
data_TmLuAlRh
_chemical_formula_sum 'Tm4 Lu4 Al4 Rh4'
_cell_length_a 6.936
_cell_length_b 6.936
_cell_length_c 6.936
_cell_angle_alpha 90.00
_cell_angle_beta 90.00
_cell_angle_gamma 90.00
_symmetry_space_group_name_H-M 'F -4 3 m'
_symmetry_Int_Tables_number 216
_symmetry_space_group_name_Hall 'F -4 2 3'
loop_
_atom_site_label
_atom_site_type_symbol
_atom_site_fract_x
_atom_site_fract_y
_atom_site_fract_z
Tm1 Tm 0.000 0.000 0.000
Lu1 Lu 0.000 0.000 0.500
Al1 Al 0.250 0.250 0.750
Rh1 Rh 0.250 0.250 0.250
# **Volume**: 83.4 Å³/f.u.
# **Crystal system**: cubic
# **DOS at the Fermi energy**: 0.512 states/eV/atom
# **Formation enthalpy at 0 K**: -0.623 eV/atom
# **Theoretical density**: 9.4 Mg/m³

---

No. 2
# PBE-GGA Nd5DyTl2, optimized geometry
data_Nd5DyTl2
_chemical_formula_sum 'Nd10 Dy2 Tl4'
_cell_length_a 5.5767
_cell_length_b 5.5767
_cell_length_c 20.4137
_cell_angle_alpha 90.00
_cell_angle_beta 90.00
_cell_angle_gamma 120.00
_symmetry_space_group_name_H-M 'P 63/m m c'
_symmetry_Int_Tables_number 194
_symmetry_space_group_name_Hall '-P 6c 2c'
loop_
_atom_site_label
_atom_site_type_symbol
_atom_site_fract_x
_atom_site_fract_y
_atom_site_fract_z
Nd1 Nd 0.0000 0.0000 0.1616
Nd2 Nd 0.3333 0.6667 0.0616
Nd3 Nd 0.3333 0.6667 0.2500
Dy1 Dy 0.3333 0.6667 0.7500
Tl1 Tl 0.3333 0.6667 0.5967
# **Volume**: 274.9 Å³/f.u.
# **Crystal system**: hexagonal
# **DOS at the Fermi energy**: 1.846 states/eV/atom
# **Formation enthalpy at 0 K**: -0.069 eV/atom
# **Theoretical density**: 7.8 Mg/m³
# **Offset from the most stable computed form**: 0.32 eV/f.u.

---

No. 3
# PBE-GGA Nd5Y2TmTh, optimized geometry
data_Nd5Y2TmTh
_chemical_formula_sum 'Nd20 Y8 Tm4 Th4'
_cell_length_a 5.431
_cell_length_b 21.721
_cell_length_c 10.612
_cell_angle_alpha 90.00
_cell_angle_beta 90.00
_cell_angle_gamma 90.00
_symmetry_space_group_name_H-M 'C m c m'
_symmetry_Int_Tables_number 63
_symmetry_space_group_name_Hall '-C 2c 2'
loop_
_atom_site_label
_atom_site_type_symbol
_atom_site_fract_x
_atom_site_fract_y
_atom_site_fract_z
Nd1 Nd 0.000 0.000 0.000
Nd2 Nd 0.000 0.125 0.250
Nd3 Nd 0.000 0.222 0.557
Nd4 Nd 0.000 0.499 0.750
Y1 Y 0.000 0.387 0.001
Tm1 Tm 0.000 0.102 0.750
Th1 Th 0.000 0.287 0.250
# **Volume**: 313.0 Å³/f.u.
# **Crystal system**: orthorhombic
# **DOS at the Fermi energy**: 1.476 states/eV/atom
# **Formation enthalpy at 0 K**: 0.138 eV/atom
# **Theoretical density**: 6.9 Mg/m³